Entry 1:
Material: K3Cu2AuF9
Method: DFT, PBE
State: relaxed

Calculated values
Energy relative to the elements, uncorrected, kJ per mole of atoms: -188.2
SG: P-3m1
Crystal system: trigonal

Cell: 5.912 5.912 7.333 Å, 90.00 90.00 120.00°
Fractional positions:
F1 0.825 0.175 0.684
F2 0.825 0.649 0.684
F3 0.175 0.351 0.316
F4 0.649 0.825 0.316
F5 0.500 0.000 0.000
F6 0.500 0.500 0.000
F7 0.000 0.500 0.000
F8 0.351 0.175 0.684
F9 0.175 0.825 0.316
Au1 0.000 0.000 0.500
K1 0.333 0.667 0.674
K2 0.000 0.000 0.000
K3 0.667 0.333 0.326
Cu1 0.333 0.667 0.154
Cu2 0.667 0.333 0.846



Entry 2:
Material: SrOsW2
Method: DFT, PBE
State: relaxed

Calculated values
SG: P4/mmm
Crystal system: tetragonal
Energy of formation from the pure elements, eV per atom: 1.42

Cell: 4.809 3.962 3.962 Å, 90.00 90.00 90.00°
Fractional positions:
Os1 0.500 0.500 0.000
W1 0.000 0.000 0.000
W2 0.000 0.500 0.500
Sr1 0.500 0.000 0.500



Entry 3:
Material: CuTcNi2C
Method: DFT, PBE
State: relaxed

Calculated values
SG: P4/mmm
Crystal system: tetragonal
Energy of formation from the pure elements, eV per atom: 0.21

Cell: 3.764 3.764 4.022 Å, 90.00 90.00 90.00°
Last column: magnetic moment on the atom in μB.
Fractional positions:
C1 0.000 0.000 0.000  0.00
Cu1 0.500 0.500 0.500  0.05
Tc1 0.000 0.000 0.500  0.16
Ni1 0.000 0.500 0.000  0.23
Ni2 0.500 0.000 0.000  0.23



Entry 4:
Material: Pu3Pa5Sb12
Method: DFT, PBE
State: relaxed

Calculated values
Energy relative to the elements, uncorrected, kJ per mole of atoms: 3.5
SG: Ia-3d
Crystal system: cubic

Cell: 15.524 15.524 15.524 Å, 109.47 109.47 109.47°
Last column: magnetic moment on the atom in μB.
Fractional positions:
Pa1 0.000 0.000 0.500  -0.05
Pa2 0.250 0.875 0.125  -0.32
Pa3 0.500 0.500 0.000  -0.05
Pa4 0.625 0.750 0.875  -0.32
Pa5 0.500 0.500 0.500  -0.05
Pa6 0.500 0.000 0.000  -0.05
Pa7 0.000 0.500 0.000  -0.05
Pa8 0.625 0.875 0.250  -0.32
Pa9 0.250 0.375 0.625  -0.32
Pa10 0.875 0.625 0.750  -0.32
Pa11 0.125 0.375 0.250  -0.32
Pa12 0.000 0.000 0.000  -0.05
Pa13 0.500 0.000 0.500  -0.05
Pa14 0.375 0.125 0.750  -0.32
Pa15 0.000 0.500 0.500  -0.05
Pa16 0.125 0.750 0.375  -0.32
Pa17 0.375 0.250 0.125  -0.32
Pa18 0.750 0.125 0.875  -0.32
Pa19 0.875 0.250 0.625  -0.32
Pa20 0.750 0.625 0.375  -0.32
Pu1 0.375 0.625 0.250  5.30
Pu2 0.250 0.625 0.875  5.30
Pu3 0.625 0.250 0.375  5.30
Pu4 0.625 0.375 0.750  5.30
Pu5 0.750 0.875 0.625  5.30
Pu6 0.875 0.125 0.250  5.30
Pu7 0.750 0.375 0.125  5.30
Pu8 0.375 0.750 0.625  5.30
Pu9 0.250 0.125 0.375  5.30
Pu10 0.875 0.750 0.125  5.30
Pu11 0.125 0.250 0.875  5.30
Pu12 0.125 0.875 0.750  5.30
Sb1 0.829 0.922 0.057  -0.02
Sb2 0.922 0.829 0.557  -0.02
Sb3 0.406 0.272 0.329  -0.02
Sb4 0.728 0.594 0.171  -0.02
Sb5 0.671 0.228 0.594  -0.02
Sb6 0.443 0.671 0.078  -0.02
Sb7 0.557 0.329 0.922  -0.02
Sb8 0.829 0.906 0.272  -0.02
Sb9 0.772 0.329 0.906  -0.02
Sb10 0.865 0.272 0.443  -0.02
Sb11 0.906 0.829 0.772  -0.02
Sb12 0.772 0.443 0.365  -0.02
Sb13 0.422 0.057 0.329  -0.02
Sb14 0.406 0.135 0.578  -0.02
Sb15 0.635 0.578 0.906  -0.02
Sb16 0.671 0.443 0.578  -0.02
Sb17 0.057 0.422 0.829  -0.02
Sb18 0.578 0.635 0.406  -0.02
Sb19 0.443 0.772 0.865  -0.02
Sb20 0.078 0.171 0.443  -0.02
Sb21 0.094 0.171 0.228  -0.02
Sb22 0.228 0.671 0.094  -0.02
Sb23 0.422 0.365 0.594  -0.02
Sb24 0.578 0.943 0.671  -0.02
Sb25 0.865 0.594 0.922  -0.02
Sb26 0.171 0.094 0.728  -0.02
Sb27 0.078 0.906 0.135  -0.02
Sb28 0.228 0.557 0.635  -0.02
Sb29 0.329 0.772 0.406  -0.02
Sb30 0.135 0.406 0.078  -0.02
Sb31 0.057 0.635 0.728  -0.02
Sb32 0.272 0.406 0.829  -0.02
Sb33 0.594 0.865 0.422  -0.02
Sb34 0.906 0.078 0.635  -0.02
Sb35 0.635 0.057 0.228  -0.02
Sb36 0.365 0.943 0.772  -0.02
Sb37 0.922 0.094 0.865  -0.02
Sb38 0.272 0.865 0.943  -0.02
Sb39 0.943 0.578 0.171  -0.02
Sb40 0.094 0.922 0.365  -0.02
Sb41 0.594 0.728 0.671  -0.02
Sb42 0.135 0.728 0.557  -0.02
Sb43 0.728 0.135 0.057  -0.02
Sb44 0.365 0.422 0.094  -0.02
Sb45 0.171 0.078 0.943  -0.02
Sb46 0.329 0.557 0.422  -0.02
Sb47 0.943 0.365 0.272  -0.02
Sb48 0.557 0.228 0.135  -0.02



Entry 5:
Material: La2ZnSbPd6
Method: DFT, PBE
State: relaxed

Calculated values
Energy relative to the elements, uncorrected, kJ per mole of atoms: -66.1
SG: P-1
Crystal system: triclinic

Cell: 9.006 5.583 6.706 Å, 65.33 47.16 90.01°
Fractional positions:
Pd1 0.926 0.743 0.514
Pd2 0.074 0.257 0.486
Pd3 0.309 0.304 0.898
Pd4 0.309 0.799 0.898
Pd5 0.691 0.696 0.102
Pd6 0.691 0.201 0.102
La1 0.258 0.754 0.492
La2 0.742 0.246 0.508
Sb1 0.000 0.000 0.000
Zn1 0.500 0.500 0.000



Entry 6:
Material: AcCeHg17
Method: DFT, PBE
State: relaxed

Calculated values
SG: R3m
Crystal system: trigonal
Energy of formation from the pure elements, eV per atom: -0.12

Cell: 8.222 8.222 8.222 Å, 75.48 75.48 75.48°
Last column: magnetic moment on the atom in μB.
Fractional positions:
Hg1 0.347 0.905 0.347  0.00
Hg2 0.591 0.591 0.236  0.00
Hg3 0.905 0.347 0.347  0.00
Hg4 0.583 0.931 0.931  0.00
Hg5 0.236 0.591 0.591  0.00
Hg6 0.005 0.306 0.692  0.00
Hg7 0.931 0.583 0.931  0.00
Hg8 0.005 0.692 0.306  0.00
Hg9 0.949 0.949 0.949  0.00
Hg10 0.931 0.931 0.583  0.00
Hg11 0.692 0.005 0.306  0.00
Hg12 0.591 0.236 0.591  0.00
Hg13 0.306 0.005 0.692  0.00
Hg14 0.692 0.306 0.005  0.00
Hg15 0.347 0.347 0.905  0.00
Hg16 0.119 0.119 0.119  0.00
Hg17 0.306 0.692 0.005  0.00
Ac1 0.642 0.642 0.642  0.01
Ce1 0.321 0.321 0.321  1.03



no.,total magnetization (μB per cell),raw total energy (eV per cell)
1,0.0,-60.9
2,0.0,-33.1
3,0.7,-34.2
4,59.3,-556.9
5,0.0,-53.3
6,1.3,-17.5